Compound: Co8Rh
Source: Alexandria via LeMat-Bulk
Functional: SCAN
Structure: single point on PBEsol structure

Lattice parameters (Å, degrees): 5.5509 5.5509 5.5509 95.70 95.70 143.27
With the nearest neighbours (Å) after each atom.
Sites, in units of the cell vectors:
Co 0.0000 0.3379 0.3379  11 Co 2.42-2.50, 1 Rh 2.52
Co 0.0000 0.6621 0.6621  11 Co 2.42-2.50, 1 Rh 2.52
Co 0.3284 0.3284 0.6569  10 Co 2.41-2.56, 2 Rh 2.52
Co 0.3284 0.6716 0.0000  10 Co 2.41-2.56, 2 Rh 2.52
Co 0.3379 0.0000 0.3379  11 Co 2.42-2.50, 1 Rh 2.52
Co 0.6621 0.0000 0.6621  11 Co 2.42-2.50, 1 Rh 2.52
Co 0.6716 0.3284 0.0000  10 Co 2.41-2.56, 2 Rh 2.52
Co 0.6716 0.6716 0.3431  10 Co 2.41-2.56, 2 Rh 2.52
Rh 0.0000 0.0000 0.0000  12 Co 2.52

Calculated values
The value obtained for the total moment is 15.64 μB/f.u. The calculation puts the final energy at -19.1186 eV per atom. Its crystal system is tetragonal.